A plane-wave DFT calculation with PBE-GGA was carried out for a geometry-optimized BaSbSI2 structure.

Properties
Energy above the lowest structure with this stoichiometry in meV/atom: 0
Crystal system: tetragonal
Final energy in eV per atom: -3.063
E_form (uncorrected) in kJ/mol of atoms: -39.40
Space group: P4/mmm (123)
Magnetic moment in μB/atom: 0.00
Volume in A^3/atom: 35.4

The structure in POSCAR format:
```
BaSbSI2
1.0
5.719 0.000 0.000
0.000 5.719 0.000
0.000 0.000 5.414
I Sb S Ba
2 1 1 1
Cartesian
0.000 2.860 0.000
2.860 0.000 0.000
0.000 0.000 2.707
0.000 0.000 0.000
2.860 2.860 2.707
```